Density functional theory data (PBE-GGA) for SrDy2Th after structural relaxation.

DFT formation energy	0.193	eV per atom
energy relative to the lowest polymorph listed for this composition	0.098	eV/atom

a b c (Å): 3.6190 3.6190 12.8218
angles (deg): 81.89 81.89 60.00
Sites, in units of the cell vectors:
Sr (0.0000, 0.0000, 0.0000)
Th (0.5000, 0.5000, 0.5000)
Dy (0.0938, 0.0938, 0.7185)
Dy (0.9062, 0.9062, 0.2815)